CoReOsSeO: optimized geometry, GGA+U.

Properties
D(E_F) (states/eV/atom): 0.443
Total magnetic moment (μB/cell): 3.03
Energy relative to the lowest polymorph listed for this composition (meV/atom): 114

POSCAR file:
```
CoReOsSeO
1.0
3.8281 0.0000 -0.0822
0.0000 2.7616 0.0000
-1.9330 0.0000 14.5256
Co O Os Se Re
2 2 2 2 2
Direct
0.8901 0.0000 0.4482
0.8901 0.5000 0.9482
0.7800 0.5000 0.8074
0.7800 0.0000 0.3074
0.1706 0.0000 0.1238
0.1706 0.5000 0.6238
0.4076 0.5000 0.4763
0.4076 0.0000 0.9763
0.7193 0.0000 0.7077
0.7193 0.5000 0.2077
```